Record 1
Computed, not measured: a relaxed TiTcP crystal at the PBE-GGA level of DFT.

total DFT energy (no corrections): -8.63 eV per atom
size of the total moment: 0.000 μB/atom
formation energy from the elements: -0.740 eV per atom
N(E_F): 6.1 states/eV/cell
polymorph energy (0 for the lowest one): 0.263 eV/atom

Unit cell a=3.668 b=3.668 c=6.493 alpha=90.00 beta=90.00 gamma=90.00
Atoms (fractional coordinates):
Ti: 0.500 0.500 0.341
Ti: 0.000 0.000 0.659
P: 0.500 0.500 0.728
P: 0.000 0.000 0.272
Tc: 0.000 0.500 0.000
Tc: 0.500 0.000 0.000

***

Record 2
Computed, not measured: a relaxed SiPdIN2 crystal at the PBE-GGA level of DFT.

total DFT energy (no corrections): -5.06 eV per atom
ΔE_f (raw): 0.6984 eV/atom
size of the total moment: 0.000 μB/atom
N(E_F): 3.1 states/eV/cell
polymorph energy (0 for the lowest one): 0.000 eV/atom

Unit cell a=3.590 b=3.590 c=7.519 alpha=90.00 beta=90.00 gamma=90.00
Atoms (fractional coordinates):
Si: 0.000 0.000 0.000
N: 0.000 0.500 0.000
N: 0.500 0.000 0.000
I: 0.000 0.000 0.500
Pd: 0.500 0.500 0.500

***

Record 3
Computed, not measured: a relaxed Sr2YAu crystal at the PBE-GGA level of DFT.

total DFT energy (no corrections): -3.27 eV per atom
size of the total moment: 0.000 μB/atom
formation energy from the elements: 0.009 eV per atom
N(E_F): 5.8 states/eV/cell
polymorph energy (0 for the lowest one): 0.369 eV/atom

Unit cell a=6.593 b=6.593 c=6.593 alpha=136.53 beta=136.53 gamma=63.17
Atoms (fractional coordinates):
Y: 0.500 0.500 0.000
Sr: 0.000 0.000 0.000
Sr: 0.750 0.250 0.500
Au: 0.250 0.750 0.500

***

Record 4
Computed, not measured: a relaxed TcTeMo crystal at the PBE-GGA level of DFT.

total DFT energy (no corrections): -7.69 eV per atom
ΔE_f (raw): 0.4202 eV/atom
size of the total moment: 0.000 μB/atom
N(E_F): 3.5 states/eV/cell
polymorph energy (0 for the lowest one): 0.224 eV/atom

Unit cell a=3.106 b=3.106 c=6.468 alpha=90.00 beta=90.00 gamma=120.00
Atoms (fractional coordinates):
Te: 0.333 0.667 0.666
Tc: 0.667 0.333 0.313
Mo: 0.000 0.000 0.021